A geometry-optimized LiPm2PuSe5 structure, computed with PBE.

extended XYZ file:
```
18
Lattice="2.074 -8.627 0.000 2.074 8.627 0.000 0.000 0.000 12.427" Properties=species:S:1:pos:R:3 pbc="T T T"
Li 2.074 8.314 6.213
Li 2.074 -8.314 0.000
Pm 2.074 2.150 3.965
Pm 2.074 1.873 8.768
Pm 2.074 -1.873 2.555
Pm 2.074 -2.150 10.178
Pu 2.074 3.426 0.292
Pu 2.074 -3.426 6.505
Se 2.074 8.621 3.765
Se 2.074 -8.621 9.978
Se 2.074 6.308 0.237
Se 2.074 5.330 4.502
Se 2.074 4.961 8.496
Se 2.074 0.803 1.175
Se 2.074 -0.803 7.389
Se 2.074 -4.961 2.282
Se 2.074 -5.330 10.716
Se 2.074 -6.308 6.451
```

Formation energy without anion corrections (meV/atom): -1604.4
Symmetry: No. 36
D(E_F) (states/eV per cell): 27.3
Spin magnetization (μB per formula unit): 5.0